# 1
Crystalline MnNbCoHSe at its relaxed geometry. Source: Alexandria, functional PBE.

Output
raw total energy	-6.68	eV per atom

a = 3.5457 Å, b = 3.6311 Å, c = 4.7621 Å
α = 90.00°, β = 90.00°, γ = 90.00°
With the nearest neighbours (Å) after each atom.
Element x y z (fractional)
H (0.0000, 0.5000, 0.2838)  2 Co 1.78, 2 Mn 1.82, 1 Nb 1.99
Se (0.5000, 0.0000, 0.6687)  2 Co 2.44, 2 Mn 2.52, 4 Nb 2.71
Nb (0.0000, 0.5000, 0.8663)  1 H 1.99
Co (0.5000, 0.5000, 0.3259)  2 H 1.78
Mn (0.0000, 0.0000, 0.2936)  2 H 1.82

=====

# 2
Crystalline KAgH at its relaxed geometry. Source: Alexandria, functional PBE.

Output
raw total energy	-2.45	eV per atom

a = 7.4034 Å, b = 6.7071 Å, c = 6.7232 Å
α = 50.06°, β = 90.00°, γ = 90.00°
With the nearest neighbours (Å) after each atom.
Element x y z (fractional)
K (0.5872, 0.3539, 0.3496)  4 H 2.87-2.97
K (0.0872, 0.1461, 0.1504)  4 H 2.87-2.97
K (0.4128, 0.6461, 0.6504)  4 H 2.87-2.97
K (0.9128, 0.8539, 0.8496)  4 H 2.87-2.97
H (0.2489, 0.5898, 0.0854)  2 Ag 1.94-1.95
H (0.2511, 0.0898, 0.5854)  2 Ag 1.94-1.95
H (0.7489, 0.9102, 0.4146)  2 Ag 1.94-1.95
H (0.7511, 0.4102, 0.9146)  2 Ag 1.94-1.95
Ag (0.8591, 0.5727, 0.5787)  2 H 1.94-1.95
Ag (0.1409, 0.4273, 0.4213)  2 H 1.94-1.95
Ag (0.3591, 0.9273, 0.9213)  2 H 1.94-1.95
Ag (0.6409, 0.0727, 0.0787)  2 H 1.94-1.95

=====

# 3
Crystalline LiCa2BiH at its relaxed geometry. Source: Alexandria, functional PBE.

Output
raw total energy	-3.18	eV per atom

a = 4.9610 Å, b = 4.9610 Å, c = 4.4744 Å
α = 90.00°, β = 90.00°, γ = 90.00°
With the nearest neighbours (Å) after each atom.
Element x y z (fractional)
Bi (0.5000, 0.5000, 0.5000)  8 Ca 3.34, 4 Li 3.51
Li (0.0000, 0.0000, 0.5000)  2 H 2.24
H (0.0000, 0.0000, 0.0000)  2 Li 2.24, 4 Ca 2.48
Ca (0.0000, 0.5000, 0.0000)  2 H 2.48
Ca (0.5000, 0.0000, 0.0000)  2 H 2.48

=====

# 4
Crystalline CaLaTl at its relaxed geometry. Source: Alexandria, functional PBE.

Output
raw total energy	-3.36	eV per atom
formation energy from the elements	-0.261	eV/atom

a = 7.1473 Å, b = 6.8427 Å, c = 5.5165 Å
α = 66.18°, β = 89.96°, γ = 58.09°
With the nearest neighbours (Å) after each atom.
Element x y z (fractional)
Tl (0.5791, 0.2338, 0.7264)  1 Tl 3.22, 4 La 3.26-3.37, 2 Ca 3.33-3.35
Tl (0.7910, 0.6195, 0.0326)  1 Tl 3.22, 4 Ca 3.26-3.41, 2 La 3.29-3.38
Ca (0.0941, 0.2718, 0.7069)  3 Tl 3.33-3.41, 1 Ca 3.63
Ca (0.4934, 0.8188, 0.4331)  3 Tl 3.26-3.35, 1 Ca 3.63
La (0.2782, 0.5619, 0.0623)  3 Tl 3.29-3.37, 1 La 3.61
La (0.8781, 0.0285, 0.3289)  3 Tl 3.26-3.38, 1 La 3.61